Entry 1:
Compound: LaYF6
Source: the Alexandria database
Functional: PBE
Structure: optimized geometry

Output
Energy relative to the elements, uncorrected   -4.0960 eV per atom
E_tot   -6.9234 eV per atom
Fermi-level density of states   0.00 states/eV per cell
Volume   15.3 Å³/atom

a = 5.5027 Å, b = 5.5027 Å, c = 8.1034 Å
α = 90.00°, β = 90.00°, γ = 90.00°
With the nearest neighbours (Å) after each atom.
Space group P4_2/m (No. 84)
Asymmetric unit:
La 0.0000 0.0000 0.0000 x2  6 F 2.31-2.54
Y 0.5000 0.5000 0.2500 x2  8 F 2.20-2.44
F 0.2039 0.2487 0.1836 x8  1 Y 2.20, 1 La 2.31
F 0.3132 0.3382 0.5000 x4  2 Y 2.44, 1 La 2.54, 3 F 2.68-2.72

Entry 2:
Compound: TbPt10Pb
Source: the Alexandria database
Functional: PBE
Structure: optimized geometry

Output
E_tot   -6.1170 eV per atom
Fermi-level density of states   7.98 states/eV per cell
Volume   18.7 Å³/atom

a = 4.4489 Å, b = 5.4151 Å, c = 9.2985 Å
α = 90.00°, β = 90.00°, γ = 90.00°
With the nearest neighbours (Å) after each atom.
Space group Pmmm (No. 47)
Asymmetric unit:
Tb 0.0000 0.0000 0.0000 x1  14 Pt 3.09-3.45
Pt 0.0000 0.0000 0.3322 x2  6 Pt 2.72
Pt 0.0000 0.5000 0.1655 x2  6 Pt 2.71
Pt 0.5000 0.0000 0.5000 x1  8 Pt 2.72-2.73
Pt 0.5000 0.2463 0.2442 x4  8 Pt 2.65-2.75
Pt 0.5000 0.5000 0.0000 x1  8 Pt 2.65-2.71
Pb 0.0000 0.5000 0.5000 x1  6 Pt 3.11-3.12

Entry 3:
Compound: K2In6GaSn
Source: the Alexandria database
Functional: PBE
Structure: optimized geometry

Output
E_tot   -2.5779 eV per atom
Fermi-level density of states   25.68 states/eV per cell
Volume   33.4 Å³/atom

a = 7.5418 Å, b = 7.5418 Å, c = 40.7248 Å
α = 90.00°, β = 90.00°, γ = 120.00°
With the nearest neighbours (Å) after each atom.
Space group R-3m (No. 166, hexagonal axes)
Asymmetric unit:
K 0.0000 0.0000 0.1026 x6  12 In 4.03-4.19, 1 Ga 4.18, 3 Sn 4.38
K 0.0000 0.0000 0.2759 x6  12 In 3.74-4.00
In 0.0571 0.5285 0.8622 x18  1 Ga 2.81, 2 In 3.13
In 0.0601 0.5300 0.3069 x18  1 Ga 2.79, 2 In 3.09
Ga 0.0000 0.0000 0.0000 x3  6 In 2.79
Ga 0.0000 0.0000 0.5000 x3  6 In 2.81, 2 Sn 3.08
Sn 0.0000 0.0000 0.4244 x6  1 Ga 3.08, 6 In 3.18

Entry 4:
Compound: Sr3IBr5
Source: the Alexandria database
Functional: PBE
Structure: optimized geometry

Output
Energy relative to the elements, uncorrected   -2.0319 eV per atom
E_tot   -3.6941 eV per atom
Fermi-level density of states   0.00 states/eV per cell
Volume   41.6 Å³/atom

a = 14.1573 Å, b = 10.0844 Å, c = 11.4280 Å
α = 90.00°, β = 113.29°, γ = 90.00°
With the nearest neighbours (Å) after each atom.
Space group C2/m (No. 12)
Asymmetric unit:
Sr 0.0000 0.0000 0.0000 x2  4 Br 3.08, 2 I 3.22
Sr 0.0000 0.0000 0.5000 x2  4 Br 3.10-3.14, 2 I 3.23
Sr 0.1506 0.5000 0.1780 x4  5 Br 3.04-3.14, 1 I 3.26
Sr 0.1692 0.5000 0.6690 x4  6 Br 3.08-3.15
I 0.1147 0.0000 0.8068 x4  3 Sr 3.22-3.26
Br 0.0000 0.3072 0.5000 x4  3 Sr 3.10
Br 0.0785 0.5000 0.8802 x4  3 Sr 3.04-3.15
Br 0.1602 0.1955 0.1757 x8  3 Sr 3.07-3.08
Br 0.2302 0.0000 0.5300 x4  3 Sr 3.09-3.14

Entry 5:
Compound: SrNi4Sn4
Source: the Alexandria database
Functional: PBE
Structure: optimized geometry

Output
E_tot   -4.7719 eV per atom
Fermi-level density of states   6.13 states/eV per cell
Volume   21.2 Å³/atom

a = 8.6758 Å, b = 8.6758 Å, c = 5.0749 Å
α = 90.00°, β = 90.00°, γ = 90.00°
With the nearest neighbours (Å) after each atom.
Space group P4_2/n (No. 86, origin choice 2)
Asymmetric unit:
Sr 0.2500 0.2500 0.2500 x2  4 Ni 3.23, 4 Sn 3.51
Ni 0.0763 0.5794 0.6576 x8  1 Ni 2.49, 5 Sn 2.58-2.71
Sn 0.1120 0.6270 0.1592 x8  5 Ni 2.58-2.71

Entry 6:
Compound: Cs2YTlI6
Source: the Alexandria database
Functional: PBE
Structure: optimized geometry

Output
Energy relative to the elements, uncorrected   -1.3223 eV per atom
E_tot   -3.3061 eV per atom
Fermi-level density of states   0.00 states/eV per cell
Volume   53.7 Å³/atom

a = 8.7608 Å, b = 12.8349 Å, c = 9.5495 Å
α = 90.00°, β = 90.00°, γ = 90.00°
With the nearest neighbours (Å) after each atom.
Space group Pmmn (No. 59, origin choice 2)
Asymmetric unit:
Cs 0.2500 0.0324 0.1995 x4  7 I 3.99-4.39
Y 0.2500 0.7500 0.7807 x2  6 I 3.02-3.06
Tl 0.2500 0.2500 0.7139 x2  6 I 3.44-3.46
I 0.0019 0.2500 0.4349 x4  1 Y 3.02
I 0.0097 0.7500 0.0126 x4  1 Y 3.06
I 0.2500 0.5133 0.7857 x4  1 Y 3.04

Entry 7:
Compound: VAu6
Source: the Alexandria database
Functional: PBE
Structure: optimized geometry

Output
E_tot   -3.1344 eV per atom
Fermi-level density of states   12.30 states/eV per cell
Volume   29.4 Å³/atom

a = 7.4368 Å, b = 7.4368 Å, c = 7.4368 Å
α = 90.00°, β = 90.00°, γ = 90.00°
With the nearest neighbours (Å) after each atom.
Space group Im-3m (No. 229)
Asymmetric unit:
V 0.0000 0.0000 0.0000 x2  24 Au 4.16
Au 0.0000 0.2500 0.5000 x12  4 Au 2.63

Entry 8:
Compound: Dy2TmThSe4
Source: the Alexandria database
Functional: PBE
Structure: optimized geometry

Output
Energy relative to the elements, uncorrected   -1.6548 eV per atom
E_tot   -6.0341 eV per atom
Fermi-level density of states   4.27 states/eV per cell
Volume   24.3 Å³/atom

a = 7.0625 Å, b = 4.0505 Å, c = 7.1927 Å
α = 90.00°, β = 108.97°, γ = 90.00°
With the nearest neighbours (Å) after each atom.
Space group P2/m (No. 10)
Asymmetric unit:
Dy 0.0000 0.0000 0.0000 x1  6 Se 2.92-2.93
Dy 0.0000 0.5000 0.5000 x1  6 Se 2.84-2.85
Tm 0.5000 0.0000 0.5000 x1  6 Se 2.87
Th 0.5000 0.5000 0.0000 x1  6 Se 2.96
Se 0.2423 0.0000 0.7379 x2  3 Dy 2.84-2.93, 1 Tm 2.87, 2 Th 2.96
Se 0.2497 0.5000 0.2591 x2  3 Dy 2.85-2.92, 2 Tm 2.87, 1 Th 2.96

Entry 9:
Compound: LiZnPb
Source: the Alexandria database
Functional: PBE
Structure: optimized geometry

Output
E_tot   -2.3897 eV per atom
Fermi-level density of states   1.23 states/eV per cell
Volume   21.0 Å³/atom

a = 3.4752 Å, b = 3.4752 Å, c = 10.4298 Å
α = 90.00°, β = 90.00°, γ = 90.00°
With the nearest neighbours (Å) after each atom.
Space group I4mm (No. 107)
Asymmetric unit:
Li 0.0000 0.0000 0.0000 x2  4 Zn 2.79
Zn 0.0000 0.0000 0.3736 x2  4 Li 2.79
Pb 0.0000 0.0000 0.6858 x2  5 Li 3.13-3.28, 5 Zn 3.14-3.26, 4 Pb 3.48

Entry 10:
Compound: AgC2
Source: the Alexandria database
Functional: PBE
Structure: optimized geometry

Output
E_tot   -5.3545 eV per atom
Fermi-level density of states   1.20 states/eV per cell
Volume   11.8 Å³/atom

a = 2.9376 Å, b = 2.9376 Å, c = 8.2136 Å
α = 90.00°, β = 90.00°, γ = 90.00°
With the nearest neighbours (Å) after each atom.
Space group P4/nmm (No. 129, origin choice 2)
Asymmetric unit:
Ag 0.2500 0.2500 0.1227 x2  8 Ag 2.89-2.94, 4 C 3.18
C 0.2500 0.2500 0.5840 x2  4 C 1.62
C 0.2500 0.7500 0.5000 x2  4 C 1.62

Entry 11:
Compound: Pb2OF2
Source: the Alexandria database
Functional: PBE
Structure: optimized geometry

Output
Energy relative to the elements, uncorrected   -1.8220 eV per atom
E_tot   -5.0455 eV per atom
Fermi-level density of states   0.00 states/eV per cell
Volume   20.9 Å³/atom

a = 4.1586 Å, b = 8.2981 Å, c = 6.0446 Å
α = 90.00°, β = 90.00°, γ = 90.00°
With the nearest neighbours (Å) after each atom.
Space group Pmm2 (No. 25)
Asymmetric unit:
Pb 0.0000 0.0000 0.0000 x1  4 F 2.46-2.69, 2 O 2.46
Pb 0.0000 0.5000 0.0006 x1  4 F 2.46-2.69, 2 O 2.46
Pb 0.5000 0.2501 0.5665 x2  2 O 2.45-2.46, 4 F 2.46-2.69
O 0.5000 0.0000 0.7831 x1  4 Pb 2.45-2.46
O 0.5000 0.5000 0.7842 x1  4 Pb 2.46
F 0.0000 0.2495 0.2832 x2  4 Pb 2.69
F 0.0000 0.2502 0.7826 x2  4 Pb 2.46

Entry 12:
Compound: Zn2CuAu2
Source: the Alexandria database
Functional: PBE
Structure: optimized geometry

Output
E_tot   -2.6440 eV per atom
Fermi-level density of states   2.31 states/eV per cell
Volume   16.8 Å³/atom

a = 3.5391 Å, b = 3.5391 Å, c = 13.4031 Å
α = 90.00°, β = 90.00°, γ = 90.00°
With the nearest neighbours (Å) after each atom.
Space group I4/mmm (No. 139)
Asymmetric unit:
Zn 0.0000 0.5000 0.2500 x4  4 Zn 2.50, 4 Au 2.67
Cu 0.0000 0.0000 0.0000 x2  8 Au 2.84
Au 0.0000 0.0000 0.3996 x4  4 Zn 2.67, 1 Au 2.69, 4 Cu 2.84

Entry 13:
Compound: SmSnPd6
Source: the Alexandria database
Functional: PBE
Structure: optimized geometry

Output
E_tot   -5.6232 eV per atom
Fermi-level density of states   2.04 states/eV per cell
Volume   17.3 Å³/atom

a = 5.8092 Å, b = 5.8092 Å, c = 4.1081 Å
α = 90.00°, β = 90.00°, γ = 90.00°
With the nearest neighbours (Å) after each atom.
Space group P4/mmm (No. 123)
Asymmetric unit:
Sm 0.0000 0.0000 0.0000 x1  12 Pd 2.90-2.94
Sn 0.5000 0.5000 0.0000 x1  12 Pd 2.87-2.90
Pd 0.0000 0.5000 0.0000 x2  2 Sm 2.90, 2 Sn 2.90, 8 Pd 2.91
Pd 0.2568 0.2568 0.5000 x4  8 Pd 2.83-2.98, 2 Sn 2.87, 2 Sm 2.94

Entry 14:
Compound: Pm12Si5Ge2
Source: the Alexandria database
Functional: PBE
Structure: optimized geometry

Output
Energy relative to the elements, uncorrected   -0.4126 eV per atom
E_tot   -5.3261 eV per atom
Fermi-level density of states   41.04 states/eV per cell
Volume   29.8 Å³/atom

a = 17.1821 Å, b = 7.1453 Å, c = 9.5508 Å
α = 90.00°, β = 105.02°, γ = 90.00°
With the nearest neighbours (Å) after each atom.
Space group C2/m (No. 12)
Asymmetric unit:
Pm 0.0054 0.0000 0.2814 x4  2 Ge 2.99, 2 Si 3.04-3.16
Pm 0.0310 0.5000 0.8154 x4  1 Si 2.92, 2 Ge 2.96
Pm 0.1520 0.2576 0.5653 x8  4 Si 2.93-3.06
Pm 0.1741 0.2389 0.0998 x8  1 Ge 2.92, 3 Si 2.95-3.13
Si 0.0000 0.5000 0.5000 x2  6 Pm 2.92-3.06
Si 0.1771 0.0000 0.8259 x4  7 Pm 3.04-3.13
Si 0.1959 0.0000 0.3590 x4  7 Pm 2.93-3.16
Ge 0.0000 0.1899 0.0000 x4  1 Ge 2.71, 6 Pm 2.92-2.99

Entry 15:
Compound: Y2NiW
Source: the Alexandria database
Functional: PBE
Structure: optimized geometry

Output
E_tot   -7.5851 eV per atom
Fermi-level density of states   9.29 states/eV per cell
Volume   21.0 Å³/atom

a = 7.2260 Å, b = 7.2390 Å, c = 3.2127 Å
α = 90.00°, β = 90.00°, γ = 90.00°
With the nearest neighbours (Å) after each atom.
Space group Cmmm (No. 65)
Asymmetric unit:
Y 0.2500 0.2500 0.0000 x4  4 W 3.02, 4 Ni 3.02, 2 Y 3.21
Ni 0.0000 0.0000 0.5000 x2  8 Y 3.02, 2 Ni 3.21
W 0.0000 0.5000 0.5000 x2  8 Y 3.02, 2 W 3.21

Entry 16:
Compound: Fe2CoNiC
Source: the Alexandria database
Functional: PBE
Structure: optimized geometry

Output
E_tot   -7.6725 eV per atom
Fermi-level density of states   5.51 states/eV per cell
Volume   10.4 Å³/atom

a = 3.7504 Å, b = 3.7504 Å, c = 3.7048 Å
α = 90.00°, β = 90.00°, γ = 90.00°
With the nearest neighbours (Å) after each atom.
Space group P4/mmm (No. 123)
Asymmetric unit:
Fe 0.0000 0.5000 0.0000 x2  2 C 1.88
Co 0.0000 0.0000 0.5000 x1  2 C 1.85
Ni 0.5000 0.5000 0.5000 x1  8 Fe 2.64, 4 Co 2.65
C 0.0000 0.0000 0.0000 x1  2 Co 1.85, 4 Fe 1.88

Entry 17:
Compound: Dy4Pd6Pt7
Source: the Alexandria database
Functional: PBE
Structure: optimized geometry

Output
E_tot   -6.2373 eV per atom
Fermi-level density of states   10.46 states/eV per cell
Volume   18.2 Å³/atom

a = 8.5262 Å, b = 8.5262 Å, c = 8.5262 Å
α = 90.00°, β = 90.00°, γ = 90.00°
With the nearest neighbours (Å) after each atom.
Space group Im-3m (No. 229)
Asymmetric unit:
Dy 0.2500 0.2500 0.2500 x8  6 Pt 3.01, 6 Pd 3.05
Pd 0.0000 0.0000 0.3009 x12  5 Pt 2.57-2.72
Pt 0.0000 0.0000 0.0000 x2  6 Pd 2.57
Pt 0.0000 0.2500 0.5000 x12  4 Pd 2.72, 4 Dy 3.01, 4 Pt 3.01

Entry 18:
Compound: MgCo2B4
Source: the Alexandria database
Functional: PBE
Structure: optimized geometry

Output
E_tot   -6.2623 eV per atom
Fermi-level density of states   9.71 states/eV per cell
Volume   8.4 Å³/atom

a = 2.9704 Å, b = 3.1732 Å, c = 12.4071 Å
α = 90.00°, β = 90.00°, γ = 90.00°
With the nearest neighbours (Å) after each atom.
Space group Immm (No. 71)
Asymmetric unit:
Mg 0.0000 0.0000 0.0000 x2  12 B 2.36-2.45
Co 0.0000 0.5000 0.3136 x4  7 B 2.02-2.22
B 0.0000 0.0000 0.4263 x4  3 B 1.76-1.83
B 0.0000 0.5000 0.1504 x4  2 B 1.76

Entry 19:
Compound: ScGa2Tc
Source: the Alexandria database
Functional: PBE
Structure: optimized geometry

Output
E_tot   -6.0439 eV per atom
Fermi-level density of states   14.62 states/eV per cell
Volume   16.0 Å³/atom

a = 6.3472 Å, b = 6.3472 Å, c = 6.3472 Å
α = 90.00°, β = 90.00°, γ = 90.00°
With the nearest neighbours (Å) after each atom.
Space group Fm-3m (No. 225)
Asymmetric unit:
Sc 0.0000 0.0000 0.0000 x4  8 Ga 2.75
Ga 0.2500 0.2500 0.2500 x8  4 Tc 2.75, 4 Sc 2.75
Tc 0.0000 0.0000 0.5000 x4  8 Ga 2.75

Entry 20:
Compound: Rb2BaSr2
Source: the Alexandria database
Functional: PBE
Structure: optimized geometry

Output
E_tot   -1.2151 eV per atom
Fermi-level density of states   12.36 states/eV per cell
Volume   68.4 Å³/atom

a = 12.1334 Å, b = 12.1334 Å, c = 4.6460 Å
α = 90.00°, β = 90.00°, γ = 90.00°
With the nearest neighbours (Å) after each atom.
Space group P4/mbm (No. 127)
Asymmetric unit:
Rb 0.1216 0.3784 0.0000 x4  6 Sr 4.13-4.39, 1 Rb 4.17
Ba 0.0000 0.0000 0.0000 x2  2 Ba 4.65, 4 Rb 4.82, 8 Sr 5.03
Sr 0.1796 0.6796 0.5000 x4  6 Rb 4.13-4.39

Entry 21:
Compound: Ca4TbTl15
Source: the Alexandria database
Functional: PBE
Structure: optimized geometry

Output
E_tot   -2.6479 eV per atom
Fermi-level density of states   10.04 states/eV per cell
Volume   28.4 Å³/atom

a = 4.8376 Å, b = 4.8376 Å, c = 24.2994 Å
α = 90.00°, β = 90.00°, γ = 90.00°
With the nearest neighbours (Å) after each atom.
Space group P4/mmm (No. 123)
Asymmetric unit:
Ca 0.0000 0.0000 0.1015 x2  12 Tl 3.42-3.45
Ca 0.0000 0.0000 0.3042 x2  12 Tl 3.40-3.47
Tb 0.0000 0.0000 0.5000 x1  12 Tl 3.38-3.42
Tl 0.0000 0.5000 0.0000 x2  8 Tl 3.42-3.46, 4 Ca 3.45
Tl 0.0000 0.5000 0.2020 x4  8 Tl 3.42-3.43, 4 Ca 3.44-3.47
Tl 0.0000 0.5000 0.4026 x4  2 Tb 3.38, 8 Tl 3.38-3.45, 2 Ca 3.40
Tl 0.5000 0.5000 0.1017 x2  4 Ca 3.42, 8 Tl 3.43-3.46
Tl 0.5000 0.5000 0.3013 x2  8 Tl 3.42-3.45, 4 Ca 3.42
Tl 0.5000 0.5000 0.5000 x1  8 Tl 3.38, 4 Tb 3.42